# TbCeCoNi (PBE-GGA, optimized geometry)
data_TbCeCoNi
_cell_length_a 6.763
_cell_length_b 6.763
_cell_length_c 6.763
_cell_angle_alpha 90.00
_cell_angle_beta 90.00
_cell_angle_gamma 90.00
_space_group_name_H-M_alt 'F -4 3 m'
_space_group_IT_number 216
_space_group_name_Hall 'F -4 2 3'
loop_
_atom_site_label
_atom_site_type_symbol
_atom_site_fract_x
_atom_site_fract_y
_atom_site_fract_z
Tb1 Tb 0.000 0.000 0.000
Ce1 Ce 0.000 0.000 0.500
Co1 Co 0.250 0.250 0.750
Ni1 Ni 0.250 0.250 0.250
# - M_tot: 0.01 μB per formula unit
# - Energy relative to the elements: -0.191 eV per atom
# - ρ: 8.9 Mg/m³
# - Calculated volume: 19.3 A^3/atom